(1)
Here is a relaxed structure of CsTl2BiI6 from Alexandria via LeMat-Bulk. Energies are from PBE.

total DFT energy (no corrections): -2.628 eV/atom
D(E_F): 0.000 states/eV per atom
crystal system: triclinic
magnetic moment: 0.0 μB per cell
space group: P1, No. 1

Unit cell a=8.797 b=8.795 c=9.369 alpha=61.95 beta=61.94 gamma=59.92
Positions (direct):
Cs 0.811 0.811 0.566
I 0.370 0.708 0.765
I 0.157 0.370 0.766
Tl 0.001 0.001 0.996
I 0.709 0.156 0.766
Tl 0.521 0.520 0.438
Bi 0.329 0.329 0.014
I 0.962 0.553 0.235
I 0.251 0.962 0.235
I 0.552 0.251 0.235

---

(2)
Here is a relaxed structure of CsVBiI6 from Alexandria via LeMat-Bulk. Energies are from PBE.

total DFT energy (no corrections): -3.264 eV/atom
crystal system: trigonal
magnetic moment: 3.0 μB per cell
space group: P312, No. 149

Unit cell a=7.785 b=7.785 c=8.635 alpha=90.00 beta=90.00 gamma=59.99
Positions (direct):
I 0.974 0.642 0.695
I 0.974 0.384 0.304
I 0.384 0.642 0.304
I 0.642 0.974 0.304
V 0.667 0.667 0.500
Bi 0.333 0.333 0.500
I 0.384 0.974 0.696
Cs 0.000 0.000 0.000
I 0.642 0.384 0.696

---

(3)
Here is a relaxed structure of Cs2VBiI6 from Alexandria via LeMat-Bulk. Energies are from PBE.

total DFT energy (no corrections): -3.161 eV/atom
D(E_F): 0.482 states/eV per atom
crystal system: tetragonal
magnetic moment: 4.0 μB per cell
space group: I4/mmm, No. 139

Unit cell a=8.566 b=8.566 c=8.574 alpha=60.03 beta=60.03 gamma=90.00
Positions (direct):
Bi 0.000 0.000 0.000
Cs 0.750 0.250 0.500
I 0.739 0.261 0.000
V 0.500 0.500 0.000
I 0.262 0.262 0.476
I 0.738 0.738 0.524
I 0.261 0.261 0.000
I 0.261 0.739 0.000
Cs 0.250 0.750 0.500
I 0.739 0.739 0.000

---

(4)
Here is a relaxed structure of CsY2BiI from Alexandria via LeMat-Bulk. Energies are from PBE.

total DFT energy (no corrections): -2.670 eV/atom
D(E_F): 1.202 states/eV per atom
crystal system: tetragonal
magnetic moment: 0.0 μB per cell
space group: P4/mmm, No. 123

Unit cell a=6.044 b=5.960 c=6.044 alpha=90.00 beta=90.00 gamma=90.00
Positions (direct):
Cs 0.000 0.000 0.000
Bi 0.000 0.500 0.000
Y 0.000 0.000 0.500
I 0.500 0.500 0.500
Y 0.500 0.000 0.000

---

(5)
Here is a relaxed structure of CsZnBiI6 from Alexandria via LeMat-Bulk. Energies are from PBE.

total DFT energy (no corrections): -2.395 eV/atom
D(E_F): 0.000 states/eV per atom
crystal system: trigonal
magnetic moment: 0.0 μB per cell
space group: P312, No. 149

Unit cell a=7.762 b=7.762 c=8.759 alpha=90.01 beta=89.99 gamma=59.99
Positions (direct):
I 0.022 0.620 0.696
I 0.358 0.620 0.304
Bi 0.667 0.667 0.500
Zn 0.333 0.333 0.500
I 0.358 0.022 0.696
I 0.620 0.022 0.304
Cs 0.000 0.000 0.000
I 0.620 0.358 0.696
I 0.022 0.358 0.304

---

(6)
Here is a relaxed structure of CsZn2BiI8 from Alexandria via LeMat-Bulk. Energies are from PBE.

total DFT energy (no corrections): -2.318 eV/atom
D(E_F): 0.000 states/eV per atom
crystal system: trigonal
magnetic moment: 0.0 μB per cell
space group: R-3, No. 148

Unit cell a=7.478 b=7.478 c=12.109 alpha=72.01 beta=72.01 gamma=60.00
Positions (direct):
I 0.387 0.711 0.837
Bi 0.000 0.000 0.000
Cs 0.500 0.500 0.500
I 0.822 0.822 0.535
I 0.178 0.178 0.465
I 0.711 0.065 0.837
I 0.935 0.613 0.163
I 0.613 0.289 0.163
I 0.289 0.935 0.163
Zn 0.746 0.746 0.761
Zn 0.254 0.254 0.239
I 0.065 0.387 0.837

---

(7)
Here is a relaxed structure of CsIn6Bi from Alexandria via LeMat-Bulk. Energies are from PBE.

D(E_F): 0.399 states/eV per atom
crystal system: tetragonal
energy of formation: -0.0623 eV per atom
magnetic moment: 0.0 μB per cell
space group: P4/mmm, No. 123

Unit cell a=5.541 b=5.541 c=8.846 alpha=90.00 beta=90.00 gamma=90.00
Positions (direct):
In 0.500 0.500 0.832
In 0.000 0.500 0.682
In 0.000 0.500 0.318
In 0.500 0.000 0.318
In 0.500 0.000 0.682
Cs 0.000 0.000 0.000
In 0.500 0.500 0.168
Bi 0.000 0.000 0.500

---

(8)
Here is a relaxed structure of CsIn2Bi2 from Alexandria via LeMat-Bulk. Energies are from PBE.

D(E_F): 0.407 states/eV per atom
crystal system: tetragonal
energy of formation: -0.1951 eV per atom
magnetic moment: 0.0 μB per cell
space group: I4/mmm, No. 139

Unit cell a=5.597 b=5.597 c=7.068 alpha=66.67 beta=66.67 gamma=90.00
Positions (direct):
In 0.625 0.625 0.749
Bi 0.750 0.250 0.500
In 0.375 0.375 0.251
Bi 0.250 0.750 0.500
Cs 0.000 0.000 0.000

---

(9)
Here is a relaxed structure of CsIn3Bi from Alexandria via LeMat-Bulk. Energies are from PBE.

D(E_F): 0.726 states/eV per atom
crystal system: cubic
energy of formation: 0.2289 eV per atom
magnetic moment: 0.0 μB per cell
space group: Pm-3m, No. 221

Unit cell a=6.152 b=6.152 c=6.152 alpha=90.00 beta=90.00 gamma=90.00
Positions (direct):
In 0.000 0.000 0.500
In 0.000 0.500 0.000
Cs 0.500 0.500 0.500
Bi 0.000 0.000 0.000
In 0.500 0.000 0.000

---

(10)
Here is a relaxed structure of CsIn3Bi3 from Alexandria via LeMat-Bulk. Energies are from PBE.

D(E_F): 0.390 states/eV per atom
crystal system: trigonal
energy of formation: -0.1133 eV per atom
magnetic moment: 0.0 μB per cell
space group: R-3, No. 148

Unit cell a=8.672 b=8.672 c=10.672 alpha=66.03 beta=66.03 gamma=60.00
Positions (direct):
In 0.522 0.216 0.386
In 0.124 0.478 0.614
Cs 0.667 0.667 0.998
Bi 0.227 0.586 0.284
In 0.876 0.522 0.386
Bi 0.773 0.414 0.716
Bi 0.097 0.773 0.716
In 0.216 0.876 0.386
In 0.478 0.784 0.614
Cs 0.333 0.333 0.002
Bi 0.903 0.227 0.284
Bi 0.414 0.097 0.716
Bi 0.586 0.903 0.284
In 0.784 0.124 0.614

---

(11)
Here is a relaxed structure of Cs3In4Bi4 from Alexandria via LeMat-Bulk. Energies are from PBE.

D(E_F): 0.585 states/eV per atom
crystal system: orthorhombic
energy of formation: -0.1850 eV per atom
magnetic moment: 0.0 μB per cell
space group: Immm, No. 71

Unit cell a=5.105 b=5.779 c=16.415 alpha=100.14 beta=98.95 gamma=90.00
Positions (direct):
In 0.546 0.546 0.093
In 0.804 0.304 0.609
Bi 0.095 0.595 0.191
Cs 0.648 0.148 0.295
Cs 0.000 0.000 0.000
Bi 0.249 0.249 0.498
In 0.196 0.696 0.391
In 0.454 0.454 0.907
Bi 0.751 0.751 0.502
Cs 0.352 0.852 0.705
Bi 0.905 0.405 0.809

---

(12)
Here is a relaxed structure of Cs3In2Bi4 from Alexandria via LeMat-Bulk. Energies are from PBE.

D(E_F): 0.416 states/eV per atom
crystal system: monoclinic
energy of formation: -0.2649 eV per atom
magnetic moment: 0.0 μB per cell
space group: C2/c, No. 15

Unit cell a=8.890 b=10.213 c=10.213 alpha=80.51 beta=78.35 gamma=78.35
Positions (direct):
Bi 0.904 0.318 0.961
Bi 0.667 0.401 0.218
Bi 0.096 0.682 0.039
Cs 0.425 0.255 0.005
Bi 0.833 0.782 0.599
Bi 0.167 0.218 0.401
Bi 0.596 0.039 0.682
In 0.487 0.814 0.586
In 0.513 0.186 0.414
Cs 0.250 0.595 0.405
Cs 0.925 0.005 0.255
Cs 0.075 0.995 0.745
In 0.987 0.586 0.814
In 0.013 0.414 0.186
Cs 0.750 0.405 0.595
Bi 0.404 0.961 0.318
Bi 0.333 0.599 0.782
Cs 0.575 0.745 0.995

---

(13)
Here is a relaxed structure of CsIn3Bi2 from Alexandria via LeMat-Bulk. Energies are from PBE.

D(E_F): 0.349 states/eV per atom
crystal system: hexagonal
energy of formation: -0.0481 eV per atom
magnetic moment: 0.0 μB per cell
space group: P6/mmm, No. 191

Unit cell a=7.158 b=7.158 c=4.968 alpha=90.00 beta=90.00 gamma=120.00
Positions (direct):
In 0.500 0.500 0.000
Bi 0.667 0.333 0.500
In 0.500 0.000 0.000
In 0.000 0.500 0.000
Bi 0.333 0.667 0.500
Cs 0.000 0.000 0.500

---

(14)
Here is a relaxed structure of CsInBi2 from Alexandria via LeMat-Bulk. Energies are from PBE.

D(E_F): 0.426 states/eV per atom
crystal system: tetragonal
energy of formation: -0.0952 eV per atom
magnetic moment: 0.0 μB per cell
space group: P4/mmm, No. 123

Unit cell a=4.322 b=4.322 c=8.272 alpha=90.00 beta=90.00 gamma=90.00
Positions (direct):
Bi 0.000 0.000 0.179
Cs 0.500 0.500 0.500
In 0.500 0.500 0.000
Bi 0.000 0.000 0.821

---

(15)
Here is a relaxed structure of CsInBi2 from Alexandria via LeMat-Bulk. Energies are from PBE.

D(E_F): 0.375 states/eV per atom
crystal system: trigonal
energy of formation: -0.0131 eV per atom
magnetic moment: 0.0 μB per cell
space group: R3m, No. 160

Unit cell a=4.161 b=4.161 c=10.595 alpha=78.68 beta=78.68 gamma=60.00
Positions (direct):
Bi 0.269 0.269 0.192
Cs 0.501 0.501 0.498
Bi 0.064 0.064 0.809
In 0.666 0.666 0.001

---

(16)
Here is a relaxed structure of Cs2InBi from Alexandria via LeMat-Bulk. Energies are from PBE.

D(E_F): 0.153 states/eV per atom
crystal system: orthorhombic
energy of formation: -0.2570 eV per atom
magnetic moment: 0.0 μB per cell
space group: Imm2, No. 44

Unit cell a=4.837 b=7.267 c=7.267 alpha=64.58 beta=70.56 gamma=70.56
Positions (direct):
Cs 0.436 0.481 0.648
Cs 0.064 0.852 0.019
Bi 0.250 0.202 0.298
In 0.750 0.965 0.535

---

(17)
Here is a relaxed structure of Cs3In2Bi4 from Alexandria via LeMat-Bulk. Energies are from PBE.

D(E_F): 0.385 states/eV per atom
crystal system: monoclinic
energy of formation: -0.2976 eV per atom
magnetic moment: 0.0 μB per cell
space group: C2/m, No. 12

Unit cell a=5.103 b=8.180 c=10.414 alpha=74.90 beta=90.00 gamma=71.83
Positions (direct):
Bi 0.121 0.758 0.397
Bi 0.879 0.242 0.603
Bi 0.289 0.421 0.948
Bi 0.711 0.579 0.052
Cs 0.000 0.000 0.000
Cs 0.403 0.194 0.318
Cs 0.597 0.806 0.682
In 0.718 0.564 0.352
In 0.282 0.436 0.648

---

(18)
Here is a relaxed structure of Cs5In4Bi2 from Alexandria via LeMat-Bulk. Energies are from PBE.

D(E_F): 0.644 states/eV per atom
crystal system: monoclinic
energy of formation: -0.0809 eV per atom
magnetic moment: 0.0 μB per cell
space group: C2/m, No. 12

Unit cell a=7.729 b=7.858 c=11.676 alpha=59.71 beta=70.67 gamma=60.54
Positions (direct):
Cs 0.849 0.663 0.130
In 0.673 0.896 0.759
Bi 0.841 0.105 0.212
Cs 0.642 0.337 0.870
Cs 0.151 0.337 0.870
In 0.327 0.104 0.241
Cs 0.000 0.500 0.500
Cs 0.358 0.663 0.130
In 0.291 0.890 0.528
Bi 0.159 0.895 0.788
In 0.709 0.110 0.472

---

(19)
Here is a relaxed structure of CsIn6Bi4 from Alexandria via LeMat-Bulk. Energies are from PBE.

D(E_F): 0.361 states/eV per atom
crystal system: hexagonal
energy of formation: -0.0499 eV per atom
magnetic moment: 0.0 μB per cell
space group: P-6m2, No. 187

Unit cell a=5.232 b=9.136 c=9.136 alpha=120.00 beta=90.00 gamma=90.00
Positions (direct):
In 0.000 0.536 0.073
Cs 0.000 0.000 0.000
In 0.000 0.927 0.464
In 0.500 0.204 0.408
Bi 0.500 0.797 0.203
Bi 0.500 0.797 0.594
In 0.000 0.536 0.464
Bi 0.500 0.406 0.203
In 0.500 0.204 0.796
Bi 0.000 0.333 0.667
In 0.500 0.592 0.796

---

(20)
Here is a relaxed structure of Cs3InBi from Alexandria via LeMat-Bulk. Energies are from PBE.

D(E_F): 1.626 states/eV per atom
crystal system: cubic
energy of formation: 0.2760 eV per atom
magnetic moment: 1.9 μB per cell
space group: Pm-3m, No. 221

Unit cell a=7.116 b=7.116 c=7.116 alpha=90.00 beta=90.00 gamma=90.00
Positions (direct):
Cs 0.000 0.500 0.000
In 0.000 0.000 0.000
Cs 0.000 0.000 0.500
Bi 0.500 0.500 0.500
Cs 0.500 0.000 0.000